Here is an optimized crystal structure of CsNaGaAu from Alexandria via LeMat-Bulk. Energies are from PBE-GGA.

The space group is Cm (No. 8) and the conventional cell measures 7.965, 4.601 and 8.222 Å, with angles of 90.00, 109.05 and 90.00 degrees. The inequivalent atoms are Cs at (0.000, 0.000, 0.000), Na at (0.314, 0.500, 0.447), Ga at (0.216, 0.000, 0.652) and Au at (0.048, 0.500, 0.647).

The formation energy is -0.20 eV per atom.

***

Here is an optimized crystal structure of CsNa2GaAu from Alexandria via LeMat-Bulk. Energies are from PBE-GGA.

The space group is P4/mmm (No. 123) and the conventional cell measures 5.907, 5.907 and 4.979 Å, with angles of 90.00, 90.00 and 90.00 degrees. The inequivalent atoms are Cs at (0.000, 0.000, 0.000), Na at (0.000, 0.500, 0.500), Ga at (0.500, 0.500, 0.500) and Au at (0.500, 0.500, 0.000).

Its energy relative to the lowest polymorph listed for this composition is 0.27 eV per formula unit. The formation energy is -0.09 eV per atom.

***

Here is an optimized crystal structure of CsNa2Ga2Au2 from Alexandria via LeMat-Bulk. Energies are from PBE-GGA.

The space group is C2/m (No. 12) and the conventional cell measures 9.928, 4.571 and 9.854 Å, with angles of 90.00, 109.65 and 90.00 degrees. The inequivalent atoms are Cs at (0.000, 0.000, 0.000), Na at (0.133, 0.000, 0.398), Ga at (0.078, 0.500, 0.644) and Au at (0.203, 0.000, 0.714).

The formation energy is -0.21 eV per atom.

***

Here is an optimized crystal structure of Cs2GaAuO4 from Alexandria via LeMat-Bulk. Energies are from PBE-GGA.

The space group is Fddd (No. 70, origin choice 2) and the conventional cell measures 5.895, 14.154 and 21.248 Å, with angles of 90.00, 90.00 and 90.00 degrees. The inequivalent atoms are Cs at (0.125, 0.125, 0.298), Ga at (0.125, 0.125, 0.125), Au at (0.125, 0.125, 0.625) and O at (0.111, 0.283, 0.379).

The formation energy (no corrections) is -26.158 kcal/mol of atoms.

***

Here is an optimized crystal structure of CsGaPb2Au from Alexandria via LeMat-Bulk. Energies are from PBE-GGA.

The space group is P4/mmm (No. 123) and the conventional cell measures 7.305, 7.305 and 6.288 Å, with angles of 90.00, 90.00 and 90.00 degrees. The inequivalent atoms are Cs at (0.000, 0.000, 0.000), Ga at (0.000, 0.000, 0.500), Pb at (0.000, 0.500, 0.000) and Au at (0.500, 0.500, 0.500).

The formation energy is 1.51 eV per atom.

***

Here is an optimized crystal structure of CsGa2PdAu from Alexandria via LeMat-Bulk. Energies are from PBE-GGA.

The space group is P4/mmm (No. 123) and the conventional cell measures 4.901, 4.901 and 5.575 Å, with angles of 90.00, 90.00 and 90.00 degrees. The inequivalent atoms are Cs at (0.000, 0.000, 0.000), Ga at (0.000, 0.500, 0.500), Pd at (0.500, 0.500, 0.500) and Au at (0.500, 0.500, 0.000).

The formation energy is -0.19 eV per atom.

***

Here is an optimized crystal structure of CsGa2PtAu from Alexandria via LeMat-Bulk. Energies are from PBE-GGA.

The space group is P4/mmm (No. 123) and the conventional cell measures 4.878, 4.878 and 5.578 Å, with angles of 90.00, 90.00 and 90.00 degrees. The inequivalent atoms are Cs at (0.000, 0.000, 0.000), Ga at (0.000, 0.500, 0.500), Pt at (0.500, 0.500, 0.500) and Au at (0.500, 0.500, 0.000).

The formation energy is -0.31 eV per atom.

***

Here is an optimized crystal structure of CsRbGaAu from Alexandria via LeMat-Bulk. Energies are from PBE-GGA.

The space group is Cm (No. 8) and the conventional cell measures 8.100, 4.585 and 10.331 Å, with angles of 90.00, 105.00 and 90.00 degrees. The inequivalent atoms are Cs at (0.000, 0.000, 0.000), Rb at (0.329, 0.500, 0.483), Ga at (0.079, 0.500, 0.734) and Au at (0.247, 0.000, 0.733).

The formation energy is -0.18 eV per atom.

***

| no. | E_tot (eV/atom) |
| --- | --- |
| 1 | -2.32 |
| 2 | -2.05 |
| 3 | -2.51 |
| 4 | -4.61 |
| 5 | -1.40 |
| 6 | -3.27 |
| 7 | -3.55 |
| 8 | -2.21 |